The following is a PBE-GGA calculation of La2PuPaP4 after structural relaxation, from Alexandria via LeMat-Bulk.

Summary:
The value obtained for the magnetization is 0.6917 μB/atom. The value obtained for the density of states at the Fermi level is 1.67 states/eV per atom. The formation enthalpy at 0 K comes out at -1.4039 eV/atom.

a b c (Å): 4.116 7.109 7.178
angles (deg): 109.41 90.00 90.00
Fractional coordinates of all 8 atoms:
P1 0.500 0.247 0.228
P2 0.500 0.753 0.772
P3 0.000 0.262 0.772
P4 0.000 0.738 0.228
La1 0.500 0.000 0.500
La2 0.000 0.500 0.500
Pu1 0.000 0.000 0.000
Pa1 0.500 0.500 0.000



The following is a PBE-GGA calculation of Ac3P after structural relaxation, from Alexandria via LeMat-Bulk.

Summary:
The polymorph energy (0 for the lowest one) is 188 meV/atom. The value obtained for the magnetization is 0.2403 μB/atom. The value obtained for the density of states at the Fermi level is 1.30 states/eV per atom. The formation enthalpy at 0 K comes out at -0.4316 eV/atom.

a b c (Å): 3.986 4.060 10.104
angles (deg): 90.00 90.00 90.00
Fractional coordinates of all 4 atoms:
P1 0.000 0.000 0.997
Ac1 0.000 0.500 0.468
Ac2 0.500 0.500 0.108
Ac3 0.500 0.000 0.760



The following is a PBE-GGA calculation of HfScGe3 after structural relaxation, from Alexandria via LeMat-Bulk.

Summary:
The value obtained for the magnetization is 0.0000 μB/atom. The value obtained for the density of states at the Fermi level is 0.91 states/eV per atom. The formation enthalpy at 0 K comes out at 0.6173 eV/atom.

a b c (Å): 4.926 4.926 4.926
angles (deg): 90.00 90.00 90.00
Fractional coordinates of all 5 atoms:
Ge1 0.000 0.000 0.500
Ge2 0.000 0.500 0.000
Ge3 0.500 0.000 0.000
Hf1 0.500 0.500 0.500
Sc1 0.000 0.000 0.000



The following is a PBE-GGA calculation of PaGaOs2 after structural relaxation, from Alexandria via LeMat-Bulk.

Summary:
The value obtained for the magnetization is 0.0000 μB/atom. The value obtained for the density of states at the Fermi level is 0.86 states/eV per atom. The formation enthalpy at 0 K comes out at -0.0366 eV/atom.

a b c (Å): 3.202 3.202 6.738
angles (deg): 90.00 90.00 90.00
Fractional coordinates of all 4 atoms:
Os1 0.000 0.000 0.786
Os2 0.000 0.000 0.214
Pa1 0.500 0.500 0.500
Ga1 0.500 0.500 0.000